<1>
# KHfRh2

A geometry-optimized KHfRh2 structure (PBE, Alexandria via LeMat-Bulk).

abc: 4.7307 4.7307 4.7307
angles: 60.00 60.00 60.00
With the nearest neighbours (Å) after each atom.
Positions (direct):
1 Rh 0.2500 0.2500 0.2500  4 Hf 2.90, 4 K 2.90
2 Rh 0.7500 0.7500 0.7500  4 Hf 2.90, 4 K 2.90
3 K 0.0000 0.0000 0.0000  8 Rh 2.90
4 Hf 0.5000 0.5000 0.5000  8 Rh 2.90

Results
- space group = Fm-3m, No. 225
- D(E_F) (states/eV/atom) = 0.47

---

<2>
# KHfRh2

A geometry-optimized KHfRh2 structure (PBE, Alexandria via LeMat-Bulk).

abc: 7.4519 7.4519 6.1499
angles: 52.71 52.71 90.00
With the nearest neighbours (Å) after each atom.
Positions (direct):
1 Rh 0.6706 0.1250 0.2500  2 Hf 2.53
2 Rh 0.0794 0.6250 0.2500  2 Hf 2.53
3 Rh 0.3750 0.3294 0.7500  2 Hf 2.53
4 Rh 0.8750 0.9206 0.7500  2 Hf 2.53
5 K 0.5000 0.5000 0.0000  4 Rh 2.99, 2 Hf 3.17
6 K 0.2500 0.7500 0.5000  4 Rh 2.99, 2 Hf 3.17
7 Hf 0.0000 0.0000 0.0000  4 Rh 2.53
8 Hf 0.7500 0.2500 0.5000  4 Rh 2.53

Results
- space group = I-42d, No. 122
- D(E_F) (states/eV/atom) = 0.67

---

It comes down to <1>, which is 0.144 eV/atom more stable than the next structure.

---

<1>
# KHfRu3

A geometry-optimized KHfRu3 structure (PBE, Alexandria via LeMat-Bulk).

abc: 4.9468 4.9468 4.9468
angles: 90.00 90.00 90.00
With the nearest neighbours (Å) after each atom.
Positions (direct):
1 Ru 0.0000 0.5000 0.0000  2 Hf 2.47
2 Ru 0.0000 0.0000 0.5000  2 Hf 2.47
3 Ru 0.5000 0.0000 0.0000  2 Hf 2.47
4 K 0.5000 0.5000 0.5000  12 Ru 3.50
5 Hf 0.0000 0.0000 0.0000  6 Ru 2.47

Results
- space group = Pm-3m, No. 221
- D(E_F) (states/eV/atom) = 1.05

---

<2>
# KHfRu3

A geometry-optimized KHfRu3 structure (PBE, Alexandria via LeMat-Bulk).

abc: 4.5352 4.5352 4.5352
angles: 90.00 90.00 90.00
With the nearest neighbours (Å) after each atom.
Positions (direct):
1 Ru 0.0000 0.5000 0.0000  2 K 2.27
2 Ru 0.0000 0.0000 0.5000  2 K 2.27
3 Ru 0.5000 0.0000 0.0000  2 K 2.27
4 K 0.0000 0.0000 0.0000  6 Ru 2.27
5 Hf 0.5000 0.5000 0.5000  12 Ru 3.21

Results
- space group = Pm-3m, No. 221
- D(E_F) (states/eV/atom) = 1.01

---

It comes down to <1>, which is 0.920 eV/atom more stable than the next structure.

---

<1>
# KHf2Ru2

A geometry-optimized KHf2Ru2 structure (PBE, Alexandria via LeMat-Bulk).

abc: 8.1274 8.1274 3.1118
angles: 90.00 90.00 90.00
With the nearest neighbours (Å) after each atom.
Positions (direct):
1 Ru 0.1392 0.6392 0.5000  6 Hf 2.72-3.02
2 Ru 0.6392 0.8608 0.5000  6 Hf 2.72-3.02
3 Ru 0.8608 0.3608 0.5000  6 Hf 2.72-3.02
4 Ru 0.3608 0.1392 0.5000  6 Hf 2.72-3.02
5 K 0.0000 0.0000 0.0000  2 K 3.11, 4 Hf 3.16
6 K 0.5000 0.5000 0.0000  2 K 3.11, 4 Hf 3.16
7 Hf 0.3641 0.8641 0.0000  6 Ru 2.72-3.02
8 Hf 0.8641 0.6359 0.0000  6 Ru 2.72-3.02
9 Hf 0.6359 0.1359 0.0000  6 Ru 2.72-3.02
10 Hf 0.1359 0.3641 0.0000  6 Ru 2.72-3.02

Results
- space group = P4/mbm, No. 127
- D(E_F) (states/eV/atom) = 1.02

---

<2>
# KHf2Ru2

A geometry-optimized KHf2Ru2 structure (PBE, Alexandria via LeMat-Bulk).

abc: 4.3243 4.3243 7.3116
angles: 72.80 72.80 90.00
With the nearest neighbours (Å) after each atom.
Positions (direct):
1 Ru 0.7500 0.2500 0.5000  4 Hf 2.57
2 Ru 0.2500 0.7500 0.5000  4 Hf 2.57
3 K 0.0000 0.0000 0.0000  8 Hf 3.61, 8 Ru 3.96
4 Hf 0.3550 0.3550 0.2900  4 Ru 2.57
5 Hf 0.6450 0.6450 0.7100  4 Ru 2.57

Results
- space group = I4/mmm, No. 139
- D(E_F) (states/eV/atom) = 0.81

---

It comes down to <1>, which is 0.218 eV/atom more stable than the next structure.